Entry w
VASP calculation (PBE) on crystalline Pm2TlC at its relaxed geometry.

```
data_Pm2TlC
_chemical_formula_sum 'Pm2 Tl1 C1'
_cell_length_a 3.6746
_cell_length_b 3.6746
_cell_length_c 8.5199
_cell_angle_alpha 90.00
_cell_angle_beta 90.00
_cell_angle_gamma 120.00
_space_group_name_H-M_alt 'P -6 m 2'
_space_group_IT_number 187
_space_group_name_Hall 'P -6 2'
loop_
_atom_site_label
_atom_site_type_symbol
_atom_site_fract_x
_atom_site_fract_y
_atom_site_fract_z
_atom_site_occupancy
Pm1 Pm 0.0000 0.0000 0.1724 1
Tl1 Tl 0.3333 0.6667 0.5000 1
C1 C 0.6667 0.3333 0.0000 1
```

- mass density (g cm⁻³) = 8.440

=====

Entry x
VASP calculation (PBE) on crystalline Pm2TlC at its relaxed geometry.

```
data_Pm2TlC
_chemical_formula_sum 'Pm4 Tl2 C2'
_cell_length_a 3.6980
_cell_length_b 3.6980
_cell_length_c 17.0472
_cell_angle_alpha 90.00
_cell_angle_beta 90.00
_cell_angle_gamma 120.00
_space_group_name_H-M_alt 'P 63/m m c'
_space_group_IT_number 194
_space_group_name_Hall '-P 6c 2c'
loop_
_atom_site_label
_atom_site_type_symbol
_atom_site_fract_x
_atom_site_fract_y
_atom_site_fract_z
_atom_site_occupancy
Pm1 Pm 0.3333 0.6667 0.0829 1
Tl1 Tl 0.3333 0.6667 0.7500 1
C1 C 0.0000 0.0000 0.0000 1
```

- mass density (g cm⁻³) = 8.330

=====

Short version: entry w is the least stable of them.

=====

Entry w
VASP calculation (PBE) on crystalline Pm6Tl2C at its relaxed geometry.

```
data_Pm6Tl2C
_chemical_formula_sum 'Pm12 Tl4 C2'
_cell_length_a 3.6716
_cell_length_b 15.5077
_cell_length_c 8.9681
_cell_angle_alpha 90.00
_cell_angle_beta 90.00
_cell_angle_gamma 90.00
_space_group_name_H-M_alt 'A m m 2'
_space_group_IT_number 38
loop_
_space_group_symop_operation_xyz
'x,y,z'
'-x,-y,z'
'-x,y,z'
'x,-y,z'
'x,y+1/2,z+1/2'
'-x,-y+1/2,z+1/2'
'-x,y+1/2,z+1/2'
'x,-y+1/2,z+1/2'
loop_
_atom_site_label
_atom_site_type_symbol
_atom_site_fract_x
_atom_site_fract_y
_atom_site_fract_z
_atom_site_occupancy
Pm1 Pm 0.0000 0.0000 0.0000 1
Pm2 Pm 0.0000 0.1078 0.6761 1
Pm3 Pm 0.5000 0.0000 0.3759 1
Pm4 Pm 0.5000 0.2037 0.9875 1
Tl1 Tl 0.0000 0.1668 0.2837 1
C1 C 0.5000 0.0000 0.7850 1
```

- mass density (g cm⁻³) = 8.395

=====

Entry x
VASP calculation (PBE) on crystalline Pm6Tl2C at its relaxed geometry.

```
data_Pm6Tl2C
_chemical_formula_sum 'Pm24 Tl8 C4'
_cell_length_a 10.1087
_cell_length_b 10.1087
_cell_length_c 10.1087
_cell_angle_alpha 90.00
_cell_angle_beta 90.00
_cell_angle_gamma 90.00
_space_group_name_H-M_alt 'F m -3 m'
_space_group_IT_number 225
_space_group_name_Hall '-F 4 2 3'
loop_
_atom_site_label
_atom_site_type_symbol
_atom_site_fract_x
_atom_site_fract_y
_atom_site_fract_z
_atom_site_occupancy
Pm1 Pm 0.0000 0.0000 0.2447 1
Tl1 Tl 0.2500 0.2500 0.2500 1
C1 C 0.0000 0.0000 0.0000 1
```

- mass density (g cm⁻³) = 8.300

=====

Short version: entry w is the least stable of them.

=====

Entry w
VASP calculation (PBE) on crystalline PmTmC at its relaxed geometry.

```
data_PmTmC
_chemical_formula_sum 'Pm2 Tm2 C2'
_cell_length_a 6.2655
_cell_length_b 3.6013
_cell_length_c 6.6094
_cell_angle_alpha 90.00
_cell_angle_beta 108.41
_cell_angle_gamma 90.00
_space_group_name_H-M_alt 'P 1 21/m 1'
_space_group_IT_number 11
loop_
_space_group_symop_operation_xyz
'x,y,z'
'-x,-y,-z'
'-x,y+1/2,-z'
'x,-y+1/2,z'
loop_
_atom_site_label
_atom_site_type_symbol
_atom_site_fract_x
_atom_site_fract_y
_atom_site_fract_z
_atom_site_occupancy
Pm1 Pm 0.0086 0.2500 0.2759 1
Tm1 Tm 0.4871 0.2500 0.7095 1
C1 C 0.2610 0.7500 0.5041 1
```

- mass density (g cm⁻³) = 7.650

=====

Entry x
VASP calculation (PBE) on crystalline PmTmC at its relaxed geometry.

```
data_PmTmC
_chemical_formula_sum 'Pm4 Tm4 C4'
_cell_length_a 15.7135
_cell_length_b 3.5447
_cell_length_c 5.1878
_cell_angle_alpha 90.00
_cell_angle_beta 90.01
_cell_angle_gamma 90.00
_space_group_name_H-M_alt 'C 1 m 1'
_space_group_IT_number 8
loop_
_space_group_symop_operation_xyz
'x,y,z'
'x,-y,z'
'x+1/2,y+1/2,z'
'x+1/2,-y+1/2,z'
loop_
_atom_site_label
_atom_site_type_symbol
_atom_site_fract_x
_atom_site_fract_y
_atom_site_fract_z
_atom_site_occupancy
Pm1 Pm 0.0000 0.0000 0.0000 1
Pm2 Pm 0.1182 0.5000 0.4989 1
Tm1 Tm 0.2183 0.0000 0.9976 1
Tm2 Tm 0.3320 0.5000 0.4996 1
C1 C 0.1094 0.5000 0.0015 1
C2 C 0.2346 0.0000 0.5048 1
```

- mass density (g cm⁻³) = 7.492

=====

Entry y
VASP calculation (PBE) on crystalline PmTmC at its relaxed geometry.

```
data_PmTmC
_chemical_formula_sum 'Pm2 Tm2 C2'
_cell_length_a 3.1981
_cell_length_b 3.1981
_cell_length_c 12.2141
_cell_angle_alpha 90.00
_cell_angle_beta 90.00
_cell_angle_gamma 90.00
_space_group_name_H-M_alt 'I 4 m m'
_space_group_IT_number 107
_space_group_name_Hall 'I 4 -2'
loop_
_atom_site_label
_atom_site_type_symbol
_atom_site_fract_x
_atom_site_fract_y
_atom_site_fract_z
_atom_site_occupancy
Pm1 Pm 0.0000 0.0000 0.0000 1
Tm1 Tm 0.0000 0.0000 0.7733 1
C1 C 0.0000 0.0000 0.3791 1
```

- mass density (g cm⁻³) = 8.665

=====

Short version: entry y is the least stable of them.

=====

Entry w
VASP calculation (PBE) on crystalline PmUC at its relaxed geometry.

```
data_PmUC
_chemical_formula_sum 'Pm2 U2 C2'
_cell_length_a 3.2398
_cell_length_b 3.2398
_cell_length_c 13.3933
_cell_angle_alpha 90.00
_cell_angle_beta 90.00
_cell_angle_gamma 90.00
_space_group_name_H-M_alt 'I 4 m m'
_space_group_IT_number 107
_space_group_name_Hall 'I 4 -2'
loop_
_atom_site_label
_atom_site_type_symbol
_atom_site_fract_x
_atom_site_fract_y
_atom_site_fract_z
_atom_site_occupancy
Pm1 Pm 0.0000 0.0000 0.0000 1
U1 U 0.0000 0.0000 0.7216 1
C1 C 0.0000 0.0000 0.1822 1
```

- mass density (g cm⁻³) = 9.332

=====

Entry x
VASP calculation (PBE) on crystalline PmUC at its relaxed geometry.

```
data_PmUC
_chemical_formula_sum 'Pm1 U1 C1'
_cell_length_a 3.4337
_cell_length_b 3.4337
_cell_length_c 6.3576
_cell_angle_alpha 90.00
_cell_angle_beta 90.00
_cell_angle_gamma 120.00
_space_group_name_H-M_alt 'P 3 m 1'
_space_group_IT_number 156
loop_
_space_group_symop_operation_xyz
'x,y,z'
'-y,x-y,z'
'-x+y,-x,z'
'-y,-x,z'
'-x+y,y,z'
'x,x-y,z'
loop_
_atom_site_label
_atom_site_type_symbol
_atom_site_fract_x
_atom_site_fract_y
_atom_site_fract_z
_atom_site_occupancy
Pm1 Pm 0.0000 0.0000 0.0000 1
U1 U 0.3333 0.6667 0.5410 1
C1 C 0.6667 0.3333 0.7395 1
```

- mass density (g cm⁻³) = 10.105

=====

Short version: entry w is the least stable of them.

=====

Entry w
VASP calculation (PBE) on crystalline PmWC2 at its relaxed geometry.

```
data_PmWC2
_chemical_formula_sum 'Pm3 W3 C6'
_cell_length_a 3.2167
_cell_length_b 3.2167
_cell_length_c 17.9408
_cell_angle_alpha 90.00
_cell_angle_beta 90.00
_cell_angle_gamma 120.00
_space_group_name_H-M_alt 'R 3 m'
_space_group_IT_number 160
_space_group_name_Hall 'R 3 -2"'
loop_
_atom_site_label
_atom_site_type_symbol
_atom_site_fract_x
_atom_site_fract_y
_atom_site_fract_z
_atom_site_occupancy
Pm1 Pm 0.0000 0.0000 0.0000 1
W1 W 0.0000 0.0000 0.8252 1
C1 C 0.0000 0.0000 0.2273 1
C2 C 0.0000 0.0000 0.4275 1
```

- mass density (g cm⁻³) = 10.934

=====

Entry x
VASP calculation (PBE) on crystalline PmWC2 at its relaxed geometry.

```
data_PmWC2
_chemical_formula_sum 'Pm3 W3 C6'
_cell_length_a 3.2792
_cell_length_b 3.2792
_cell_length_c 17.1554
_cell_angle_alpha 90.00
_cell_angle_beta 90.00
_cell_angle_gamma 120.00
_space_group_name_H-M_alt 'R -3 m'
_space_group_IT_number 166
_space_group_name_Hall '-R 3 2"'
loop_
_atom_site_label
_atom_site_type_symbol
_atom_site_fract_x
_atom_site_fract_y
_atom_site_fract_z
_atom_site_occupancy
Pm1 Pm 0.0000 0.0000 0.0000 1
W1 W 0.0000 0.0000 0.5000 1
C1 C 0.0000 0.0000 0.2339 1
```

- mass density (g cm⁻³) = 11.001

=====

Short version: entry w is the least stable of them.